# GGA-PBE Ba2Na4Sr3, relaxed
# * E above lowest polymorph: 65 meV/atom
# * electronic total energy: -1.492 eV/atom
# * formation energy: 0.74 eV per formula unit
# * calculated volume: 1845.1 Å³/cell
data_Ba2Na4Sr3
_chemical_formula_sum 'Ba8 Na16 Sr12'
_cell_length_a 8.046
_cell_length_b 23.148
_cell_length_c 9.906
_cell_angle_alpha 90.00
_cell_angle_beta 90.00
_cell_angle_gamma 90.00
_symmetry_space_group_name_H-M 'C m c e'
_symmetry_Int_Tables_number 64
_symmetry_space_group_name_Hall '-C 2ac 2'
loop_
_atom_site_label
_atom_site_type_symbol
_atom_site_fract_x
_atom_site_fract_y
_atom_site_fract_z
Ba1 Ba 0.000 0.094 0.102
Na1 Na 0.000 0.159 0.484
Na2 Na 0.250 0.077 0.750
Sr1 Sr 0.000 0.000 0.500
Sr2 Sr 0.250 0.242 0.750